Record 1
The following is a PBE+U calculation of a geometry-optimized Cs2VCl5F structure, from Alexandria.

Geometry as extended XYZ:
```
9
Lattice="-3.745 3.745 5.100 3.745 -3.745 5.100 3.745 3.745 -5.100" Properties=species:S:1:pos:R:3 pbc="T T T"
Cs 3.745 0.000 0.000
Cs 0.000 3.745 0.000
V 0.000 0.000 2.550
Cl 2.066 2.066 -2.557
Cl 1.679 -1.679 2.544
Cl -1.679 1.679 2.544
Cl 1.679 1.679 2.544
Cl 0.000 0.000 4.863
F 0.000 0.000 0.731
```

Output
Symmetry: I4mm (107)


Record 2
The following is a PBE+U calculation of a geometry-optimized Cs2VCl3F structure, from Alexandria.

Geometry as extended XYZ:
```
14
Lattice="4.391 0.000 0.000 0.000 5.310 0.000 0.000 0.000 17.563" Properties=species:S:1:pos:R:3 pbc="T T T"
Cs 0.000 0.000 2.582
Cs 0.000 0.000 14.981
Cs 2.195 2.655 6.200
Cs 2.195 2.655 11.363
V 0.000 0.000 8.781
V 2.195 2.655 0.000
Cl 0.000 0.000 6.210
Cl 0.000 0.000 11.353
Cl 0.000 2.655 8.781
Cl 2.195 0.000 0.000
Cl 2.195 2.655 2.572
Cl 2.195 2.655 14.991
F 0.000 2.655 0.000
F 2.195 0.000 8.781
```

Output
Symmetry: Immm (71)


Record 3
The following is a PBE+U calculation of a geometry-optimized Cs2VCl2F4 structure, from Alexandria.

Geometry as extended XYZ:
```
9
Lattice="5.609 -3.467 0.000 5.609 3.467 0.000 -0.373 0.000 6.110" Properties=species:S:1:pos:R:3 pbc="T T T"
Cs 1.815 0.000 1.339
Cs 9.030 0.000 4.771
V 5.609 0.000 0.000
Cl 3.533 0.000 4.441
Cl 7.312 0.000 1.670
F 4.661 1.318 0.926
F 6.184 1.318 5.184
F 4.661 -1.318 0.926
F 6.184 -1.318 5.184
```

Output
Symmetry: C2/m (12)


Record 4
The following is a PBE+U calculation of a geometry-optimized CsVCl2F structure, from Alexandria.

Geometry as extended XYZ:
```
5
Lattice="5.278 0.000 0.000 0.000 5.278 0.000 0.000 0.000 4.297" Properties=species:S:1:pos:R:3 pbc="T T T"
Cs 0.000 0.000 0.000
V 2.639 2.639 2.148
Cl 0.000 2.639 2.148
Cl 2.639 0.000 2.148
F 2.639 2.639 0.000
```

Output
Symmetry: P4/mmm (123)


Number 1: E -4.00 eV/atom. Number 2: E -4.31 eV/atom. Number 3: E -4.68 eV/atom. Number 4: E -4.69 eV/atom.